(1)
! GGA-PBEsol CoIOF2, optimized geometry; values from VASP
&SYSTEM
  ibrav = 0, nat = 5, ntyp = 4
/
ATOMIC_SPECIES
F 19.00 F.upf
Co 58.93 Co.upf
O 16.00 O.upf
I 126.90 I.upf
CELL_PARAMETERS angstrom
3.686 0.000 0.000
0.000 3.686 0.000
0.000 0.000 5.111
ATOMIC_POSITIONS crystal
F 0.500 0.000 0.000
Co 0.000 0.000 0.000
O 0.000 0.000 0.500
I 0.500 0.500 0.500
F 0.000 0.500 0.000
! - spin magnetization (μB per formula unit) = 3.03
! - distance to the lowest polymorph of the same formula (eV/atom) = 0.000
! - E_form (uncorrected) (meV per atom) = -679
! - volume (Å³ per atom) = 13.9
! - D(E_F) (states/eV/cell) = 4.19
! - calculated total energy (eV/cell) = -22.0

(2)
! GGA-PBEsol W2BrCl, optimized geometry; values from VASP
&SYSTEM
  ibrav = 0, nat = 4, ntyp = 3
/
ATOMIC_SPECIES
Br 79.90 Br.upf
W 183.84 W.upf
Cl 35.45 Cl.upf
CELL_PARAMETERS angstrom
2.819 0.000 0.000
0.000 5.334 0.000
-1.410 -2.667 4.489
ATOMIC_POSITIONS crystal
Br 0.000 0.500 0.000
W 0.239 0.239 0.477
Cl 0.500 0.000 0.000
W 0.761 0.761 0.523
! - spin magnetization (μB per formula unit) = 0.00
! - distance to the lowest polymorph of the same formula (eV/atom) = 0.907
! - E_form (uncorrected) (meV per atom) = 1093
! - volume (Å³ per atom) = 16.9
! - D(E_F) (states/eV/cell) = 4.54
! - calculated total energy (eV/cell) = -27.1

(3)
! GGA-PBEsol La2AsI2, optimized geometry; values from VASP
&SYSTEM
  ibrav = 0, nat = 5, ntyp = 3
/
ATOMIC_SPECIES
I 126.90 I.upf
As 74.92 As.upf
La 138.91 La.upf
CELL_PARAMETERS angstrom
4.336 0.000 0.000
-2.168 3.755 0.000
0.000 0.000 10.954
ATOMIC_POSITIONS crystal
I 0.333 0.667 0.340
As 0.000 0.000 0.000
I 0.667 0.333 0.660
La 0.333 0.667 0.849
La 0.667 0.333 0.151
! - spin magnetization (μB per formula unit) = 0.00
! - E_form (uncorrected) (meV per atom) = -1565
! - volume (Å³ per atom) = 35.7
! - D(E_F) (states/eV/cell) = 1.74
! - calculated total energy (eV/cell) = -27.2

- Among the records above, which one has the highest volume?
  La2AsI2